This record from the Alexandria database describes a relaxed CaIn2Pd crystal. The functional is GGA-PBE.

Computed properties:
Calculated density   6.3 g/cm³
E   -14.39 eV/cell
Formation energy   -9.89 kcal/mol of atoms

a = 4.627 Å, b = 4.627 Å, c = 5.999 Å
α = 67.31°, β = 67.31°, γ = 60.00°
Fractional coordinates of all 4 atoms:
In (0.282, 0.282, 0.152)
In (0.718, 0.718, 0.848)
Ca (0.500, 0.500, 0.500)
Pd (0.000, 0.000, 0.000)